# 1
# PBE Tb6Pm2Ga, optimized geometry
# Size of the total moment, μB per formula unit: 0.0
# Total energy, hartree per atom: -0.1636
data_Tb6Pm2Ga
_chemical_formula_sum 'Tb12 Pm4 Ga2'
_cell_length_a 17.2985
_cell_length_b 9.3605
_cell_length_c 3.5372
_cell_angle_alpha 90.00
_cell_angle_beta 90.19
_cell_angle_gamma 90.00
_symmetry_space_group_name_H-M 'C 1 2/m 1'
_symmetry_Int_Tables_number 12
_symmetry_space_group_name_Hall '-C 2y'
loop_
_atom_site_label
_atom_site_fract_x
_atom_site_fract_y
_atom_site_fract_z
Tb1 0.0000 0.2249 0.0000
Tb2 0.1623 0.3296 0.4992
Pm1 0.1748 0.0000 0.9975
Ga1 0.0000 0.5000 0.5000

=====

# 2
# PBE TlIn2Co, optimized geometry
# Size of the total moment, μB per formula unit: 0.6
# Energy above the lowest structure with this stoichiometry, meV/atom: 0
data_TlIn2Co
_chemical_formula_sum 'Tl1 In2 Co1'
_cell_length_a 3.1609
_cell_length_b 3.1609
_cell_length_c 8.7663
_cell_angle_alpha 90.00
_cell_angle_beta 90.00
_cell_angle_gamma 90.00
_symmetry_space_group_name_H-M 'P 4/m m m'
_symmetry_Int_Tables_number 123
_symmetry_space_group_name_Hall '-P 4 2'
loop_
_atom_site_label
_atom_site_fract_x
_atom_site_fract_y
_atom_site_fract_z
Tl1 0.0000 0.0000 0.0000
In1 0.5000 0.5000 0.3198
Co1 0.0000 0.0000 0.5000

=====

# 3
# PBE TaTl2Ga2, optimized geometry
# Size of the total moment, μB per formula unit: 0.7
# Energy above the lowest structure with this stoichiometry, meV/atom: 274
data_TaTl2Ga2
_chemical_formula_sum 'Ta2 Tl4 Ga4'
_cell_length_a 3.9674
_cell_length_b 3.9674
_cell_length_c 14.9798
_cell_angle_alpha 90.00
_cell_angle_beta 90.00
_cell_angle_gamma 90.00
_symmetry_space_group_name_H-M 'I 4/m m m'
_symmetry_Int_Tables_number 139
_symmetry_space_group_name_Hall '-I 4 2'
loop_
_atom_site_label
_atom_site_fract_x
_atom_site_fract_y
_atom_site_fract_z
Ta1 0.0000 0.0000 0.0000
Tl1 0.0000 0.5000 0.2500
Ga1 0.0000 0.0000 0.4189

=====

# 4
# PBE Pm4Tm3ScSe8, optimized geometry
# Size of the total moment, μB per formula unit: 0.0
# E_form (uncorrected), eV/f.u.: -27.8
data_Pm4Tm3ScSe8
_chemical_formula_sum 'Pm12 Tm9 Sc3 Se24'
_cell_length_a 8.0722
_cell_length_b 8.0722
_cell_length_c 20.6178
_cell_angle_alpha 90.00
_cell_angle_beta 90.00
_cell_angle_gamma 120.00
_symmetry_space_group_name_H-M 'R -3 m'
_symmetry_Int_Tables_number 166
_symmetry_space_group_name_Hall '-R 3 2"'
loop_
_atom_site_label
_atom_site_fract_x
_atom_site_fract_y
_atom_site_fract_z
Pm1 0.0000 0.0000 0.0000
Pm2 0.0000 0.5000 0.0000
Tm1 0.0000 0.5000 0.5000
Sc1 0.0000 0.0000 0.5000
Se1 0.0000 0.0000 0.2441
Se2 0.0046 0.5023 0.2430